No. 1
Entry from Alexandria via LeMat-Bulk: a relaxed RbTaTe4 crystal (PBE-GGA).

Structure (CIF):
```
data_RbTaTe4
_cell_length_a 16.931
_cell_length_b 8.597
_cell_length_c 6.091
_cell_angle_alpha 90.00
_cell_angle_beta 94.89
_cell_angle_gamma 90.00
_symmetry_space_group_name_H-M 'C 1 2/m 1'
_symmetry_Int_Tables_number 12
_symmetry_space_group_name_Hall '-C 2y'
loop_
_atom_site_label
_atom_site_fract_x
_atom_site_fract_y
_atom_site_fract_z
Rb1 0.187 0.000 0.208
Ta1 0.016 0.500 0.271
Te1 0.000 0.231 0.000
Te2 0.104 0.296 0.612
Te3 0.184 0.500 0.260
```

## Properties
**Formation energy without anion corrections**: -0.40 eV per atom

=====

No. 2
Entry from Alexandria via LeMat-Bulk: a relaxed BeOsRu2 crystal (PBE-GGA).

Structure (CIF):
```
data_BeOsRu2
_cell_length_a 2.7137
_cell_length_b 2.7137
_cell_length_c 24.4821
_cell_angle_alpha 90.00
_cell_angle_beta 90.00
_cell_angle_gamma 120.00
_symmetry_space_group_name_H-M 'R -3 m'
_symmetry_Int_Tables_number 166
_symmetry_space_group_name_Hall '-R 3 2"'
loop_
_atom_site_label
_atom_site_fract_x
_atom_site_fract_y
_atom_site_fract_z
Be1 0.0000 0.0000 0.0000
Os1 0.0000 0.0000 0.5000
Ru1 0.0000 0.0000 0.2558
```

## Properties
**Energy of formation from the pure elements**: 0.10 eV per atom

=====

No. 3
Entry from Alexandria via LeMat-Bulk: a relaxed BeSbTe2 crystal (PBE-GGA).

Structure (CIF):
```
data_BeSbTe2
_cell_length_a 3.367
_cell_length_b 3.367
_cell_length_c 9.022
_cell_angle_alpha 90.00
_cell_angle_beta 90.00
_cell_angle_gamma 90.00
_symmetry_space_group_name_H-M 'P 4 m m'
_symmetry_Int_Tables_number 99
_symmetry_space_group_name_Hall 'P 4 -2'
loop_
_atom_site_label
_atom_site_fract_x
_atom_site_fract_y
_atom_site_fract_z
Be1 0.000 0.000 0.000
Sb1 0.500 0.500 0.191
Te1 0.000 0.000 0.511
Te2 0.500 0.500 0.872
```

## Properties
**Formation energy without anion corrections**: 0.31 eV per atom
**Energy above the lowest structure with this stoichiometry**: 287 meV/atom

=====

No. 4
Entry from Alexandria via LeMat-Bulk: a relaxed Tc2Ni2Ru crystal (PBE-GGA).

Structure (CIF):
```
data_Tc2Ni2Ru
_cell_length_a 6.818
_cell_length_b 6.818
_cell_length_c 2.819
_cell_angle_alpha 90.00
_cell_angle_beta 90.00
_cell_angle_gamma 90.00
_symmetry_space_group_name_H-M 'P 4/m b m'
_symmetry_Int_Tables_number 127
_symmetry_space_group_name_Hall '-P 4 2ab'
loop_
_atom_site_label
_atom_site_fract_x
_atom_site_fract_y
_atom_site_fract_z
Tc1 0.175 0.325 0.000
Ni1 0.122 0.622 0.500
Ru1 0.000 0.000 0.500
```

## Properties
**Energy of formation from the pure elements**: 0.21 eV per atom

=====

No. 5
Entry from Alexandria via LeMat-Bulk: a relaxed LiSiIr2 crystal (PBE-GGA).

Structure (CIF):
```
data_LiSiIr2
_cell_length_a 8.094
_cell_length_b 2.789
_cell_length_c 4.814
_cell_angle_alpha 90.00
_cell_angle_beta 101.39
_cell_angle_gamma 90.00
_symmetry_space_group_name_H-M 'C 1 2/m 1'
_symmetry_Int_Tables_number 12
_symmetry_space_group_name_Hall '-C 2y'
loop_
_atom_site_label
_atom_site_fract_x
_atom_site_fract_y
_atom_site_fract_z
Li1 0.000 0.000 0.000
Si1 0.000 0.500 0.500
Ir1 0.238 0.000 0.746
```

## Properties
**Formation energy without anion corrections**: -0.35 eV per atom

=====

No. 6
Entry from Alexandria via LeMat-Bulk: a relaxed LaSb2Rh crystal (PBE-GGA).

Structure (CIF):
```
data_LaSb2Rh
_cell_length_a 7.334
_cell_length_b 7.334
_cell_length_c 7.334
_cell_angle_alpha 90.00
_cell_angle_beta 90.00
_cell_angle_gamma 90.00
_symmetry_space_group_name_H-M 'F -4 3 m'
_symmetry_Int_Tables_number 216
_symmetry_space_group_name_Hall 'F -4 2 3'
loop_
_atom_site_label
_atom_site_fract_x
_atom_site_fract_y
_atom_site_fract_z
La1 0.000 0.000 0.000
Sb1 0.000 0.000 0.500
Sb2 0.250 0.250 0.750
Rh1 0.250 0.250 0.250
```

## Properties
**Formation energy without anion corrections**: -0.32 eV per atom

=====

No. 7
Entry from Alexandria via LeMat-Bulk: a relaxed ZrSb2Cl crystal (PBE-GGA).

Structure (CIF):
```
data_ZrSb2Cl
_cell_length_a 4.199
_cell_length_b 4.613
_cell_length_c 12.219
_cell_angle_alpha 90.00
_cell_angle_beta 90.00
_cell_angle_gamma 90.00
_symmetry_space_group_name_H-M 'C m m 2'
_symmetry_Int_Tables_number 35
_symmetry_space_group_name_Hall 'C 2 -2'
loop_
_atom_site_label
_atom_site_fract_x
_atom_site_fract_y
_atom_site_fract_z
Zr1 0.000 0.000 0.000
Sb1 0.000 0.000 0.517
Sb2 0.000 0.500 0.185
Cl1 0.000 0.500 0.864
```

## Properties
**Formation energy without anion corrections**: -0.49 eV per atom
**Energy above the lowest structure with this stoichiometry**: 171 meV/atom

=====

No. 8
Entry from Alexandria via LeMat-Bulk: a relaxed YCdSn2H crystal (PBE-GGA).

Structure (CIF):
```
data_YCdSn2H
_cell_length_a 4.914
_cell_length_b 4.914
_cell_length_c 4.372
_cell_angle_alpha 90.00
_cell_angle_beta 90.00
_cell_angle_gamma 90.00
_symmetry_space_group_name_H-M 'P 4/m m m'
_symmetry_Int_Tables_number 123
_symmetry_space_group_name_Hall '-P 4 2'
loop_
_atom_site_label
_atom_site_fract_x
_atom_site_fract_y
_atom_site_fract_z
Y1 0.000 0.000 0.000
Cd1 0.500 0.500 0.000
Sn1 0.000 0.500 0.500
H1 0.000 0.000 0.500
```

## Properties
**Energy**: -3.945 eV per atom

=====

No. 9
Entry from Alexandria via LeMat-Bulk: a relaxed K3Na5O2 crystal (PBE-GGA).

Structure (CIF):
```
data_K3Na5O2
_cell_length_a 12.444
_cell_length_b 14.557
_cell_length_c 7.121
_cell_angle_alpha 90.00
_cell_angle_beta 90.00
_cell_angle_gamma 90.00
_symmetry_space_group_name_H-M 'I b a m'
_symmetry_Int_Tables_number 72
_symmetry_space_group_name_Hall '-I 2 2c'
loop_
_atom_site_label
_atom_site_fract_x
_atom_site_fract_y
_atom_site_fract_z
K1 0.000 0.000 0.250
K2 0.192 0.304 0.000
Na1 0.000 0.206 0.250
Na2 0.000 0.500 0.250
Na3 0.246 0.076 0.000
O1 0.086 0.144 0.000
```

## Properties
**Formation energy without anion corrections**: -0.60 eV per atom

=====

No. 10
Entry from Alexandria via LeMat-Bulk: a relaxed PmPdI4 crystal (PBE-GGA).

Structure (CIF):
```
data_PmPdI4
_cell_length_a 11.389
_cell_length_b 9.742
_cell_length_c 8.223
_cell_angle_alpha 90.00
_cell_angle_beta 98.53
_cell_angle_gamma 90.00
_symmetry_space_group_name_H-M 'C 1 2/c 1'
_symmetry_Int_Tables_number 15
_symmetry_space_group_name_Hall '-C 2yc'
loop_
_atom_site_label
_atom_site_fract_x
_atom_site_fract_y
_atom_site_fract_z
Pm1 0.250 0.250 0.000
Pd1 0.000 0.143 0.750
I1 0.014 0.303 0.490
I2 0.209 0.006 0.253
```

## Properties
**Formation energy without anion corrections**: -0.78 eV per atom

=====

No. 11
Entry from Alexandria via LeMat-Bulk: a relaxed Y10HoTh4 crystal (PBE-GGA).

Structure (CIF):
```
data_Y10HoTh4
_cell_length_a 11.402
_cell_length_b 11.402
_cell_length_c 7.717
_cell_angle_alpha 90.00
_cell_angle_beta 90.00
_cell_angle_gamma 90.00
_symmetry_space_group_name_H-M 'I 4/m'
_symmetry_Int_Tables_number 87
_symmetry_space_group_name_Hall '-I 4'
loop_
_atom_site_label
_atom_site_fract_x
_atom_site_fract_y
_atom_site_fract_z
Y1 0.000 0.210 0.211
Y2 0.000 0.500 0.250
Ho1 0.000 0.000 0.500
Th1 0.228 0.229 0.500
```

## Properties
**Energy of formation from the pure elements**: 0.30 eV per atom

=====

No. 12
Entry from Alexandria via LeMat-Bulk: a relaxed Tb2CePd crystal (PBE-GGA).

Structure (CIF):
```
data_Tb2CePd
_cell_length_a 5.293
_cell_length_b 5.293
_cell_length_c 3.534
_cell_angle_alpha 90.00
_cell_angle_beta 90.00
_cell_angle_gamma 90.00
_symmetry_space_group_name_H-M 'P 4/m m m'
_symmetry_Int_Tables_number 123
_symmetry_space_group_name_Hall '-P 4 2'
loop_
_atom_site_label
_atom_site_fract_x
_atom_site_fract_y
_atom_site_fract_z
Tb1 0.000 0.500 0.000
Ce1 0.000 0.000 0.500
Pd1 0.500 0.500 0.500
```

## Properties
**Energy of formation from the pure elements**: -0.17 eV per atom
**Energy above the lowest structure with this stoichiometry**: 186 meV/atom

=====

No. 13
Entry from Alexandria via LeMat-Bulk: a relaxed NbInFe3 crystal (PBE-GGA).

Structure (CIF):
```
data_NbInFe3
_cell_length_a 4.669
_cell_length_b 4.669
_cell_length_c 4.669
_cell_angle_alpha 90.00
_cell_angle_beta 90.00
_cell_angle_gamma 90.00
_symmetry_space_group_name_H-M 'P m -3 m'
_symmetry_Int_Tables_number 221
_symmetry_space_group_name_Hall '-P 4 2 3'
loop_
_atom_site_label
_atom_site_fract_x
_atom_site_fract_y
_atom_site_fract_z
Nb1 0.000 0.000 0.000
In1 0.500 0.500 0.500
Fe1 0.000 0.500 0.500
```

## Properties
**Energy of formation from the pure elements**: 1.68 eV per atom
**Energy above the lowest structure with this stoichiometry**: 380 meV/atom

=====

No. 14
Entry from Alexandria via LeMat-Bulk: a relaxed Sr5ZnCd4 crystal (PBE-GGA).

Structure (CIF):
```
data_Sr5ZnCd4
_cell_length_a 4.007
_cell_length_b 4.007
_cell_length_c 20.356
_cell_angle_alpha 90.00
_cell_angle_beta 90.00
_cell_angle_gamma 90.00
_symmetry_space_group_name_H-M 'P 4/m m m'
_symmetry_Int_Tables_number 123
_symmetry_space_group_name_Hall '-P 4 2'
loop_
_atom_site_label
_atom_site_fract_x
_atom_site_fract_y
_atom_site_fract_z
Sr1 0.000 0.000 0.000
Sr2 0.000 0.000 0.203
Sr3 0.000 0.000 0.406
Zn1 0.500 0.500 0.500
Cd1 0.500 0.500 0.101
Cd2 0.500 0.500 0.304
```

## Properties
**Energy of formation from the pure elements**: -0.30 eV per atom

=====

No. 15
Entry from Alexandria via LeMat-Bulk: a relaxed BeP3 crystal (PBE-GGA).

Structure (CIF):
```
data_BeP3
_cell_length_a 3.265
_cell_length_b 3.330
_cell_length_c 10.063
_cell_angle_alpha 90.00
_cell_angle_beta 90.00
_cell_angle_gamma 90.00
_symmetry_space_group_name_H-M 'I m m m'
_symmetry_Int_Tables_number 71
_symmetry_space_group_name_Hall '-I 2 2'
loop_
_atom_site_label
_atom_site_fract_x
_atom_site_fract_y
_atom_site_fract_z
Be1 0.000 0.000 0.000
P1 0.000 0.000 0.500
P2 0.000 0.500 0.177
```

## Properties
**Energy of formation from the pure elements**: 0.38 eV per atom
**Energy above the lowest structure with this stoichiometry**: 529 meV/atom

=====

No. 16
Entry from Alexandria via LeMat-Bulk: a relaxed AgHPd2I crystal (PBE-GGA).

Structure (CIF):
```
data_AgHPd2I
_cell_length_a 4.283
_cell_length_b 4.283
_cell_length_c 4.292
_cell_angle_alpha 90.00
_cell_angle_beta 90.00
_cell_angle_gamma 90.00
_symmetry_space_group_name_H-M 'P 4/m m m'
_symmetry_Int_Tables_number 123
_symmetry_space_group_name_Hall '-P 4 2'
loop_
_atom_site_label
_atom_site_fract_x
_atom_site_fract_y
_atom_site_fract_z
Ag1 0.000 0.000 0.000
H1 0.000 0.000 0.500
Pd1 0.000 0.500 0.500
I1 0.500 0.500 0.000
```

## Properties
**Energy**: -3.487 eV per atom

=====

No. 17
Entry from Alexandria via LeMat-Bulk: a relaxed Cd2HS crystal (PBE-GGA).

Structure (CIF):
```
data_Cd2HS
_cell_length_a 6.522
_cell_length_b 6.522
_cell_length_c 6.522
_cell_angle_alpha 90.00
_cell_angle_beta 90.00
_cell_angle_gamma 90.00
_symmetry_space_group_name_H-M 'F m -3 m'
_symmetry_Int_Tables_number 225
_symmetry_space_group_name_Hall '-F 4 2 3'
loop_
_atom_site_label
_atom_site_fract_x
_atom_site_fract_y
_atom_site_fract_z
Cd1 0.250 0.250 0.250
H1 0.000 0.000 0.000
S1 0.000 0.000 0.500
```

## Properties
**Energy above the lowest structure with this stoichiometry**: 318 meV/atom

=====

No. 18
Entry from Alexandria via LeMat-Bulk: a relaxed Sr2HIrN crystal (PBE-GGA).

Structure (CIF):
```
data_Sr2HIrN
_cell_length_a 5.325
_cell_length_b 5.325
_cell_length_c 3.795
_cell_angle_alpha 90.00
_cell_angle_beta 90.00
_cell_angle_gamma 90.00
_symmetry_space_group_name_H-M 'P 4/m m m'
_symmetry_Int_Tables_number 123
_symmetry_space_group_name_Hall '-P 4 2'
loop_
_atom_site_label
_atom_site_fract_x
_atom_site_fract_y
_atom_site_fract_z
Sr1 0.000 0.500 0.000
H1 0.000 0.000 0.500
Ir1 0.500 0.500 0.500
N1 0.500 0.500 0.000
```

## Properties
**Energy**: -5.199 eV per atom

=====

No. 19
Entry from Alexandria via LeMat-Bulk: a relaxed Sm2Y3HoEr6 crystal (PBE-GGA).

Structure (CIF):
```
data_Sm2Y3HoEr6
_cell_length_a 6.143
_cell_length_b 10.629
_cell_length_c 11.740
_cell_angle_alpha 90.00
_cell_angle_beta 100.00
_cell_angle_gamma 90.00
_symmetry_space_group_name_H-M 'C 1 2/m 1'
_symmetry_Int_Tables_number 12
_symmetry_space_group_name_Hall '-C 2y'
loop_
_atom_site_label
_atom_site_fract_x
_atom_site_fract_y
_atom_site_fract_z
Sm1 0.000 0.167 0.000
Y1 0.000 0.000 0.500
Y2 0.000 0.334 0.500
Ho1 0.000 0.500 0.000
Er1 0.249 0.166 0.750
Er2 0.249 0.500 0.750
```

## Properties
**Energy of formation from the pure elements**: 0.02 eV per atom

=====

No. 20
Entry from Alexandria via LeMat-Bulk: a relaxed OsWBr2 crystal (PBE-GGA).

Structure (CIF):
```
data_OsWBr2
_cell_length_a 3.229
_cell_length_b 3.229
_cell_length_c 6.391
_cell_angle_alpha 90.00
_cell_angle_beta 90.00
_cell_angle_gamma 90.00
_symmetry_space_group_name_H-M 'P 4/m m m'
_symmetry_Int_Tables_number 123
_symmetry_space_group_name_Hall '-P 4 2'
loop_
_atom_site_label
_atom_site_fract_x
_atom_site_fract_y
_atom_site_fract_z
Os1 0.000 0.000 0.000
W1 0.000 0.000 0.500
Br1 0.500 0.500 0.255
```

## Properties
**Formation energy without anion corrections**: 1.66 eV per atom
**Energy above the lowest structure with this stoichiometry**: 1450 meV/atom